# 1
VASP calculation (PBE) on a relaxed structure of Ca3Cd7Ga4.

Cell and atoms, written as extended XYZ:
```
14
Lattice="-2.386 -2.505 -2.958 -3.633 -6.381 4.832 -8.566 2.199 1.546" Properties=species:S:1:pos:R:3 pbc="T T T"
Ca -3.196 -1.527 0.369
Ca -11.389 -5.161 3.051
Ca -6.100 -2.091 3.189
Cd -8.193 -4.858 3.718
Cd -8.860 -0.771 0.795
Cd -11.345 -2.549 0.803
Cd -6.393 -1.829 -0.299
Cd -3.241 -4.138 2.616
Cd 0.000 0.000 0.000
Cd -5.726 -5.917 2.625
Ga -5.159 -4.063 0.598
Ga -9.427 -2.625 2.822
Ga -8.363 -7.289 2.412
Ga -6.222 0.602 1.007
```

* formation energy from the elements: -0.292 eV/atom
* total energy: -2.043 eV/atom

=====

# 2
VASP calculation (PBE) on a relaxed structure of CaCd4Ga.

Cell and atoms, written as extended XYZ:
```
12
Lattice="-3.535 -0.114 2.613 -4.373 -2.144 -6.009 1.536 -7.980 1.730" Properties=species:S:1:pos:R:3 pbc="T T T"
Ca -1.550 -7.310 -2.415
Ca -1.288 -2.815 -1.864
Cd 0.768 -3.990 0.865
Cd 0.000 0.000 0.000
Cd -4.682 -8.036 -2.983
Cd -1.690 -2.202 1.318
Cd -4.672 -1.924 -2.704
Cd -1.700 -8.314 1.039
Cd -4.060 -5.105 -2.015
Cd -2.312 -5.134 0.349
Ga 0.170 -6.467 -0.052
Ga -3.007 -3.658 -4.227
```

* E above lowest polymorph: 0.0135 eV per atom
* formation energy from the elements: -0.191 eV/atom
* total energy: -1.639 eV/atom

=====

# 3
VASP calculation (PBE) on a relaxed structure of CaCd2Ga.

Cell and atoms, written as extended XYZ:
```
8
Lattice="-1.915 1.521 3.504 -3.582 0.648 -2.239 -3.317 -9.840 2.459" Properties=species:S:1:pos:R:3 pbc="T T T"
Ca -1.762 -1.626 2.348
Ca -4.304 -7.130 0.743
Cd -4.072 -8.479 4.061
Cd -1.993 -0.277 -0.969
Cd -1.659 -4.920 1.230
Cd -4.407 -3.836 1.862
Ga -3.189 -5.859 3.406
Ga -2.877 -2.897 -0.315
```

* formation energy from the elements: -0.281 eV/atom
* total energy: -1.995 eV/atom

=====

# 4
VASP calculation (PBE) on a relaxed structure of CaCd4Ga.

Cell and atoms, written as extended XYZ:
```
12
Lattice="-4.307 0.903 -0.495 0.835 -0.131 -7.508 0.421 -8.738 0.199" Properties=species:S:1:pos:R:3 pbc="T T T"
Ca -0.226 -2.111 -1.889
Ca -2.825 -5.855 -5.915
Cd -1.736 0.386 -4.001
Cd -2.153 0.451 -0.247
Cd -1.970 -2.575 -7.365
Cd -1.080 -5.391 -0.439
Cd -0.753 -5.442 -3.378
Cd -2.297 -2.524 -4.426
Cd 0.389 -1.231 -5.638
Cd -3.440 -6.735 -2.166
Ga -0.195 -4.027 -5.654
Ga -2.855 -3.939 -2.150
```

* E above lowest polymorph: 0.0000 eV per atom
* formation energy from the elements: -0.204 eV/atom
* total energy: -1.653 eV/atom

=====

# 5
VASP calculation (PBE) on a relaxed structure of Ca3Cd2Ga9.

Cell and atoms, written as extended XYZ:
```
14
Lattice="4.394 0.000 0.000 2.197 8.355 0.153 2.197 2.042 8.103" Properties=species:S:1:pos:R:3 pbc="T T T"
Ca 0.000 0.000 0.000
Ca 4.394 3.204 2.544
Ca 4.394 7.194 5.712
Cd 4.394 3.931 5.725
Cd 4.394 6.467 2.531
Ga 2.197 5.199 4.128
Ga 6.591 9.498 5.910
Ga 2.197 0.899 2.346
Ga 6.591 7.909 7.911
Ga 2.197 2.488 0.344
Ga 6.591 8.206 3.563
Ga 2.197 2.191 4.692
Ga 6.591 5.330 7.185
Ga 2.197 5.067 1.071
```

* formation energy from the elements: -0.347 eV/atom
* total energy: -2.853 eV/atom

=====

# 6
VASP calculation (PBE) on a relaxed structure of CaCdGa3.

Cell and atoms, written as extended XYZ:
```
5
Lattice="5.625 0.000 0.000 0.000 5.625 0.000 0.000 0.000 5.625" Properties=species:S:1:pos:R:3 pbc="T T T"
Ca 0.000 0.000 0.000
Ga 0.000 2.812 0.000
Ga 0.000 0.000 2.812
Ga 2.812 0.000 0.000
Cd 2.812 2.812 2.812
```

* formation energy from the elements: 0.703 eV/atom
* total energy: -1.697 eV/atom

=====

# 7
VASP calculation (PBE) on a relaxed structure of Ca2Cd5Ga.

Cell and atoms, written as extended XYZ:
```
16
Lattice="-0.836 4.325 -1.490 -7.083 -2.028 5.340 4.887 3.655 7.869" Properties=species:S:1:pos:R:3 pbc="T T T"
Ca -1.448 4.987 8.034
Ca -1.584 0.964 3.686
Ca 0.000 0.000 0.000
Ca 2.443 1.827 3.935
Cd 1.437 3.331 8.863
Cd -4.469 2.620 2.857
Cd 0.001 2.257 6.550
Cd -3.033 3.695 5.170
Cd -0.712 3.628 10.931
Cd -2.319 2.323 0.789
Cd -2.824 2.049 7.531
Cd -0.208 3.903 4.189
Cd 1.669 4.932 6.124
Cd -4.700 1.019 5.596
Ga -3.146 2.863 10.075
Ga 0.114 3.088 1.645
```

* formation energy from the elements: -0.258 eV/atom
* total energy: -1.709 eV/atom

=====

# 8
VASP calculation (PBE) on a relaxed structure of CaCd2Ga2.

Cell and atoms, written as extended XYZ:
```
10
Lattice="7.971 0.000 0.000 0.000 7.971 0.000 0.000 0.000 3.686" Properties=species:S:1:pos:R:3 pbc="T T T"
Ca 0.000 0.000 0.000
Ca 3.986 3.986 0.000
Ga 3.014 7.000 0.000
Ga 7.000 4.957 0.000
Ga 4.957 0.972 0.000
Ga 0.972 3.014 0.000
Cd 1.387 5.372 1.843
Cd 5.372 6.584 1.843
Cd 6.584 2.599 1.843
Cd 2.599 1.387 1.843
```

* formation energy from the elements: -0.142 eV/atom
* total energy: -2.119 eV/atom

=====

# 9
VASP calculation (PBE) on a relaxed structure of CaCdGa.

Cell and atoms, written as extended XYZ:
```
3
Lattice="4.841 0.000 0.000 2.421 4.193 0.000 2.421 1.398 3.953" Properties=species:S:1:pos:R:3 pbc="T T T"
Ca 0.000 0.000 0.000
Ga 2.421 1.398 0.988
Cd 4.841 2.795 1.976
```

* formation energy from the elements: -0.248 eV/atom
* total energy: -2.229 eV/atom

=====

# 10
VASP calculation (PBE) on a relaxed structure of CaCdGa.

Cell and atoms, written as extended XYZ:
```
3
Lattice="-2.192 2.481 1.646 -3.676 -2.978 -0.408 2.750 -0.138 3.869" Properties=species:S:1:pos:R:3 pbc="T T T"
Ca -2.996 -0.377 2.116
Ga -0.365 0.414 0.275
Cd 0.242 -0.672 2.718
```

* formation energy from the elements: -0.397 eV/atom
* total energy: -2.378 eV/atom

=====

# 11
VASP calculation (PBE) on a relaxed structure of Ca4CdGa.

Cell and atoms, written as extended XYZ:
```
6
Lattice="-1.071 5.078 1.158 0.349 1.712 5.023 8.011 4.288 0.808" Properties=species:S:1:pos:R:3 pbc="T T T"
Ca 0.364 4.734 3.992
Ca 6.925 6.344 2.997
Ca 5.091 3.572 1.251
Ca 2.199 7.507 5.738
Cd 3.645 5.539 3.494
Ga 0.000 0.000 0.000
```

* E above lowest polymorph: 0.0839 eV per atom
* formation energy from the elements: -0.169 eV/atom
* total energy: -2.160 eV/atom

=====

# 12
VASP calculation (PBE) on a relaxed structure of Ca2Cd5Ga3.

Cell and atoms, written as extended XYZ:
```
20
Lattice="-4.657 -1.658 -3.901 3.481 -2.362 -8.235 -1.389 -9.130 0.456" Properties=species:S:1:pos:R:3 pbc="T T T"
Ca 1.372 -2.823 -5.522
Ca -3.344 -6.971 -3.211
Ca -3.938 -10.328 -6.158
Ca 0.778 -6.180 -8.469
Cd -2.240 -10.118 -3.191
Cd -1.100 -6.127 -11.332
Cd -0.326 -3.033 -8.488
Cd -1.466 -7.024 -0.348
Cd -0.764 -9.443 -7.782
Cd -1.802 -3.708 -3.897
Cd -2.447 -6.990 -6.815
Cd -0.119 -6.161 -4.864
Cd -4.131 -4.537 -5.848
Cd 1.565 -8.614 -5.831
Ga -1.107 -8.770 -5.117
Ga -2.074 -7.707 -9.498
Ga -1.459 -4.381 -6.563
Ga -0.492 -5.444 -2.182
Ga -1.164 -0.415 -0.975
Ga -3.493 -1.244 -2.926
```

* formation energy from the elements: -0.242 eV/atom
* total energy: -2.008 eV/atom

=====

# 13
VASP calculation (PBE) on a relaxed structure of CaCd5Ga2.

Cell and atoms, written as extended XYZ:
```
8
Lattice="4.316 0.000 0.000 2.158 6.655 -0.197 2.158 1.814 6.406" Properties=species:S:1:pos:R:3 pbc="T T T"
Ca 0.000 0.000 0.000
Cd 2.158 4.235 3.104
Cd 4.316 3.946 0.955
Cd 4.316 4.523 5.254
Cd 4.316 6.371 2.733
Cd 4.316 2.098 3.476
Ga 6.474 6.482 4.752
Ga 2.158 1.987 1.457
```

* formation energy from the elements: -0.148 eV/atom
* total energy: -1.727 eV/atom

=====

# 14
VASP calculation (PBE) on a relaxed structure of Ca7Cd2Ga2.

Cell and atoms, written as extended XYZ:
```
11
Lattice="6.807 -0.003 -1.130 0.003 8.303 0.004 -1.552 -0.002 6.724" Properties=species:S:1:pos:R:3 pbc="T T T"
Ca 6.030 2.447 2.235
Ca 1.857 5.849 6.160
Ca -0.772 5.851 3.362
Ca 3.402 2.450 -0.562
Ca 0.000 0.000 0.000
Ca 2.632 5.924 2.798
Ca 2.627 2.375 2.800
Cd 4.232 8.301 1.296
Cd 1.026 -0.002 4.301
Ga 4.399 4.148 4.682
Ga 0.860 4.151 0.915
```

* formation energy from the elements: -0.119 eV/atom
* total energy: -2.110 eV/atom

=====

# 15
VASP calculation (PBE) on a relaxed structure of CaCd2Ga4.

Cell and atoms, written as extended XYZ:
```
7
Lattice="-3.105 -1.945 -2.106 2.358 0.235 -3.693 3.832 -6.544 4.636" Properties=species:S:1:pos:R:3 pbc="T T T"
Ca -1.552 -0.973 -1.053
Ga 0.730 -3.217 -2.345
Ga 2.354 -5.037 1.182
Ga 1.689 -0.973 -1.590
Ga 1.396 -7.282 0.428
Cd 1.844 -5.599 -1.786
Cd 1.241 -2.655 0.623
```

* formation energy from the elements: -0.196 eV/atom
* total energy: -2.473 eV/atom

=====

# 16
VASP calculation (PBE) on a relaxed structure of CaCdGa2.

Cell and atoms, written as extended XYZ:
```
32
Lattice="-0.045 -1.302 -4.194 11.580 0.337 -0.228 0.486 -13.807 4.280" Properties=species:S:1:pos:R:3 pbc="T T T"
Ca 5.621 -10.472 -0.259
Ca 11.483 -11.063 2.161
Ca 6.400 -4.300 0.116
Ca 0.538 -3.709 -2.304
Ca 3.263 -14.040 0.873
Ca 8.879 -7.639 1.126
Ca 8.758 -0.732 -1.016
Ca 3.142 -7.133 -1.269
Cd 6.832 -13.745 0.743
Cd 0.882 -8.063 1.343
Cd 5.189 -1.027 -0.887
Cd 11.139 -6.709 -1.486
Cd 4.025 -3.642 -2.362
Cd 9.885 -4.165 0.037
Cd 7.995 -11.130 2.219
Cd 2.136 -10.607 -0.180
Ga 11.477 -14.235 0.846
Ga 5.482 -7.304 1.058
Ga 0.544 -0.537 -0.989
Ga 6.539 -7.468 -1.201
Ga 9.425 -12.872 0.445
Ga 3.531 -8.783 1.538
Ga 2.596 -1.900 -0.588
Ga 8.490 -5.989 -1.681
Ga 8.826 -10.440 -0.304
Ga 3.104 -11.245 2.307
Ga 3.195 -4.332 0.160
Ga 8.917 -3.527 -2.450
Ga 11.084 -9.414 -0.646
Ga 5.430 -12.138 2.559
Ga 0.936 -5.358 0.503
Ga 6.591 -2.634 -2.702
```

* formation energy from the elements: -0.347 eV/atom
* total energy: -2.589 eV/atom

=====

# 17
VASP calculation (PBE) on a relaxed structure of CaCdGa2.

Cell and atoms, written as extended XYZ:
```
8
Lattice="4.700 0.000 0.000 0.000 4.700 0.000 2.350 2.350 9.592" Properties=species:S:1:pos:R:3 pbc="T T T"
Ca 2.350 2.350 0.000
Ca 2.350 4.700 4.796
Ga 4.111 1.175 2.398
Ga 0.589 3.525 2.398
Ga 3.525 2.939 7.194
Ga 5.875 6.461 7.194
Cd 0.000 0.000 0.000
Cd 4.700 2.350 4.796
```

* formation energy from the elements: -0.085 eV/atom
* total energy: -2.328 eV/atom

=====

# 18
VASP calculation (PBE) on a relaxed structure of CaCdGa3.

Cell and atoms, written as extended XYZ:
```
10
Lattice="6.600 0.745 0.000 3.109 5.869 0.000 0.000 0.000 6.018" Properties=species:S:1:pos:R:3 pbc="T T T"
Ca 0.972 1.421 0.315
Ca 5.730 4.664 3.324
Cd 6.442 1.399 3.324
Cd 6.860 5.432 0.315
Ga 2.011 2.130 3.324
Ga 4.691 3.955 0.315
Ga 4.173 1.834 4.829
Ga 4.174 1.834 1.819
Ga 2.528 4.251 1.820
Ga 2.528 4.251 4.828
```

* formation energy from the elements: -0.289 eV/atom
* total energy: -2.688 eV/atom

=====

# 19
VASP calculation (PBE) on a relaxed structure of CaCdGa2.

Cell and atoms, written as extended XYZ:
```
4
Lattice="3.599 0.000 0.000 0.000 3.599 0.000 0.000 0.000 7.016" Properties=species:S:1:pos:R:3 pbc="T T T"
Ca 1.799 1.799 3.508
Ga 0.000 0.000 5.520
Ga 0.000 0.000 1.496
Cd 1.799 1.799 0.000
```

* formation energy from the elements: -0.201 eV/atom
* total energy: -2.444 eV/atom

=====

# 20
VASP calculation (PBE) on a relaxed structure of CaCd2Ga.

Cell and atoms, written as extended XYZ:
```
4
Lattice="-2.752 -0.986 2.321 -0.807 -2.911 -2.193 4.466 -3.960 3.613" Properties=species:S:1:pos:R:3 pbc="T T T"
Ca 0.453 -3.928 1.871
Ga -1.780 -1.948 0.064
Cd 3.474 -3.081 2.811
Cd 0.992 -0.880 0.802
```

* formation energy from the elements: -0.191 eV/atom
* total energy: -1.906 eV/atom

=====

# 21
VASP calculation (PBE) on a relaxed structure of Ca2Cd4Ga.

Cell and atoms, written as extended XYZ:
```
14
Lattice="-3.679 -1.672 -5.363 -1.261 -5.439 2.561 -5.820 3.850 5.311" Properties=species:S:1:pos:R:3 pbc="T T T"
Ca -1.145 -1.636 -0.356
Ca -9.615 -1.625 2.865
Ca -3.703 -2.792 3.297
Ca -7.057 -0.469 -0.788
Ga -5.313 -1.949 -3.072
Ga -5.447 -1.313 5.581
Cd -4.491 -2.733 -0.544
Cd -8.442 1.214 2.104
Cd -2.318 -4.475 0.404
Cd -5.104 -5.376 0.700
Cd -6.689 -2.968 1.455
Cd -5.656 2.114 1.809
Cd -6.269 -0.529 3.053
Cd -4.071 -0.294 1.054
```

* formation energy from the elements: -0.286 eV/atom
* total energy: -1.813 eV/atom